No. 1
This record from OQMD via LeMat-Bulk describes a relaxed GdHgPO crystal. The functional is GGA-PBE.

Computed properties:
- Theoretical density: 7.96 g/cm3
- Calculated total energy: -40.68 eV for the cell shown
- Symmetry: Pmc2_1 (26)

a = 4.099 Å, b = 6.130 Å, c = 6.717 Å
α = 90.00°, β = 90.00°, γ = 90.00°
Element x y z (fractional)
Gd (0.000, 0.048, 0.000)
Gd (0.000, 0.952, 0.500)
Hg (0.500, 0.435, 0.417)
Hg (0.500, 0.565, 0.917)
P (0.500, 0.213, 0.735)
P (0.500, 0.787, 0.235)
O (0.000, 0.223, 0.283)
O (0.000, 0.777, 0.783)

No. 2
This record from OQMD via LeMat-Bulk describes a relaxed GdHgPO crystal. The functional is GGA-PBE.

Computed properties:
- Theoretical density: 7.64 g/cm3
- Calculated total energy: -40.99 eV for the cell shown
- Symmetry: Pmc2_1 (26)

a = 4.258 Å, b = 6.909 Å, c = 5.979 Å
α = 90.00°, β = 90.00°, γ = 90.00°
Element x y z (fractional)
Gd (0.000, 0.212, 0.000)
Gd (0.000, 0.788, 0.500)
Hg (0.500, 0.360, 0.512)
Hg (0.500, 0.640, 0.012)
P (0.000, 0.193, 0.498)
P (0.000, 0.807, 0.998)
O (0.500, 0.300, 0.002)
O (0.500, 0.700, 0.502)

No. 3
This record from OQMD via LeMat-Bulk describes a relaxed RbGdHgO3 crystal. The functional is GGA-PBE.

Computed properties:
- Theoretical density: 7.01 g/cm3
- Calculated total energy: -63.80 eV for the cell shown
- Symmetry: Cmcm (63)

a = 7.322 Å, b = 7.322 Å, c = 9.058 Å
α = 90.00°, β = 90.00°, γ = 151.36°
Element x y z (fractional)
Rb (0.182, 0.818, 0.750)
Rb (0.818, 0.182, 0.250)
Gd (0.500, 0.500, 0.000)
Gd (0.500, 0.500, 0.500)
Hg (0.107, 0.893, 0.250)
Hg (0.893, 0.107, 0.750)
O (0.106, 0.894, 0.024)
O (0.106, 0.894, 0.476)
O (0.473, 0.527, 0.250)
O (0.527, 0.473, 0.750)
O (0.894, 0.106, 0.524)
O (0.894, 0.106, 0.976)

No. 4
This record from OQMD via LeMat-Bulk describes a relaxed GdHgSeO crystal. The functional is GGA-PBE.

Computed properties:
- Polymorph energy (0 for the lowest one): 635.2 meV/atom
- Theoretical density: 7.49 g/cm3
- Symmetry: R-3m (166)

a = 10.814 Å, b = 10.814 Å, c = 10.814 Å
α = 25.13°, β = 25.13°, γ = 25.13°
Element x y z (fractional)
Gd (0.229, 0.229, 0.229)
Gd (0.771, 0.771, 0.771)
Hg (0.370, 0.370, 0.370)
Hg (0.630, 0.630, 0.630)
Se (0.128, 0.128, 0.128)
Se (0.872, 0.872, 0.872)
O (0.295, 0.295, 0.295)
O (0.705, 0.705, 0.705)

No. 5
This record from OQMD via LeMat-Bulk describes a relaxed GdHgSeO crystal. The functional is GGA-PBE.

Computed properties:
- Polymorph energy (0 for the lowest one): 266.8 meV/atom
- Theoretical density: 6.39 g/cm3
- Symmetry: Pmc2_1 (26)

a = 4.822 Å, b = 8.924 Å, c = 5.469 Å
α = 90.00°, β = 90.00°, γ = 90.00°
Element x y z (fractional)
Gd (0.000, 0.137, 0.000)
Gd (0.000, 0.863, 0.500)
Hg (0.500, 0.308, 0.581)
Hg (0.500, 0.692, 0.081)
Se (0.500, 0.308, 0.086)
Se (0.500, 0.692, 0.586)
O (0.000, 0.084, 0.628)
O (0.000, 0.916, 0.128)

No. 6
This record from OQMD via LeMat-Bulk describes a relaxed GdHgSeO crystal. The functional is GGA-PBE.

Computed properties:
- Polymorph energy (0 for the lowest one): 126.6 meV/atom
- Theoretical density: 9.11 g/cm3
- Symmetry: P4/nmm (129)

a = 4.042 Å, b = 4.042 Å, c = 10.106 Å
α = 90.00°, β = 90.00°, γ = 90.00°
Element x y z (fractional)
Gd (0.250, 0.250, 0.107)
Gd (0.750, 0.750, 0.893)
Hg (0.250, 0.750, 0.500)
Hg (0.750, 0.250, 0.500)
Se (0.250, 0.250, 0.739)
Se (0.750, 0.750, 0.261)
O (0.250, 0.750, 0.000)
O (0.750, 0.250, 0.000)